(1)
! CsTl2Si GGA-PBE relaxed; values from VASP
&SYSTEM
  ibrav = 0, nat = 16, ntyp = 3
/
ATOMIC_SPECIES
Cs 132.91 Cs.upf
Tl 204.38 Tl.upf
Si 28.09 Si.upf
ATOMIC_POSITIONS angstrom
Cs 0.000 0.000 0.000
Cs 0.000 4.512 1.919
Cs 4.512 0.000 5.756
Cs 4.512 4.512 3.837
Tl 1.351 2.256 4.796
Tl 2.256 5.864 6.715
Tl 2.256 7.674 2.878
Tl 3.161 2.256 0.959
Tl 5.864 6.769 0.959
Tl 6.769 1.351 2.878
Tl 6.769 3.161 6.715
Tl 7.674 6.769 4.796
Si 0.000 0.000 3.837
Si 0.000 4.512 5.756
Si 4.512 0.000 1.919
Si 4.512 4.512 0.000
CELL_PARAMETERS angstrom
9.025 0.000 0.000
0.000 9.025 0.000
0.000 0.000 7.674
! final energy	-2.511	eV/atom
! mass density	6.1	Mg/m³
! energy above the lowest structure with this stoichiometry	0.0	meV/atom
! M_tot	0.0	μB per formula unit
! SG	No. 122
! density of states at the Fermi level	17.48	states/eV/cell
! formation energy without anion corrections	0.24	eV per atom

(2)
! CsTl2Si2 GGA-PBE relaxed; values from VASP
&SYSTEM
  ibrav = 0, nat = 10, ntyp = 3
/
ATOMIC_SPECIES
Cs 132.91 Cs.upf
Tl 204.38 Tl.upf
Si 28.09 Si.upf
ATOMIC_POSITIONS angstrom
Cs 0.000 0.000 0.000
Cs 4.594 4.594 0.000
Tl 1.276 3.318 2.061
Tl 3.318 7.911 2.061
Tl 5.870 1.276 2.061
Tl 7.911 5.870 2.061
Si 0.838 5.432 0.000
Si 3.756 0.838 0.000
Si 5.432 8.350 0.000
Si 8.350 3.756 0.000
CELL_PARAMETERS angstrom
9.187 0.000 0.000
0.000 9.187 0.000
0.000 0.000 4.122
! final energy	-2.935	eV/atom
! mass density	5.7	Mg/m³
! energy above the lowest structure with this stoichiometry	176.5	meV/atom
! M_tot	0.0	μB per formula unit
! SG	No. 127
! density of states at the Fermi level	4.43	states/eV/cell
! formation energy without anion corrections	0.35	eV per atom

(3)
! CsTlSi GGA-PBE relaxed; values from VASP
&SYSTEM
  ibrav = 0, nat = 12, ntyp = 3
/
ATOMIC_SPECIES
Cs 132.91 Cs.upf
Tl 204.38 Tl.upf
Si 28.09 Si.upf
ATOMIC_POSITIONS angstrom
Cs 2.022 1.702 0.326
Cs 4.337 5.106 3.850
Cs 8.381 1.702 3.198
Cs 10.696 5.106 6.722
Tl 0.000 0.000 3.524
Tl 0.000 3.404 3.524
Tl 6.359 0.000 0.000
Tl 6.359 3.404 0.000
Si 1.078 5.106 1.938
Si 5.280 1.702 5.462
Si 7.437 5.106 1.587
Si 11.639 1.702 5.111
CELL_PARAMETERS angstrom
12.717 0.000 0.000
0.000 6.808 0.000
0.000 0.000 7.048
! final energy	-2.624	eV/atom
! mass density	4.0	Mg/m³
! M_tot	0.0	μB per formula unit
! SG	No. 62
! density of states at the Fermi level	2.10	states/eV/cell
! formation energy without anion corrections	0.26	eV per atom

(4)
! CsYTlSi2 GGA-PBE relaxed; values from VASP
&SYSTEM
  ibrav = 0, nat = 5, ntyp = 4
/
ATOMIC_SPECIES
Cs 132.91 Cs.upf
Y 88.91 Y.upf
Tl 204.38 Tl.upf
Si 28.09 Si.upf
ATOMIC_POSITIONS angstrom
Cs 0.000 0.000 0.000
Y 2.775 2.775 3.044
Tl 2.775 2.775 0.000
Si 0.000 2.775 3.044
Si 2.775 0.000 3.044
CELL_PARAMETERS angstrom
5.550 0.000 0.000
0.000 5.550 0.000
0.000 0.000 6.088
! final energy	-3.686	eV/atom
! mass density	4.3	Mg/m³
! M_tot	0.0	μB per formula unit
! SG	No. 123
! density of states at the Fermi level	3.29	states/eV/cell
! formation energy without anion corrections	0.42	eV per atom

(5)
! CsV3Si GGA-PBE relaxed; values from VASP
&SYSTEM
  ibrav = 0, nat = 5, ntyp = 3
/
ATOMIC_SPECIES
Cs 132.91 Cs.upf
V 50.94 V.upf
Si 28.09 Si.upf
ATOMIC_POSITIONS angstrom
Cs 0.000 0.000 0.000
V 0.000 0.000 2.364
V 0.000 2.364 0.000
V 2.364 0.000 0.000
Si 2.364 2.364 2.364
CELL_PARAMETERS angstrom
4.727 0.000 0.000
0.000 4.727 0.000
0.000 0.000 4.727
! final energy	-4.024	eV/atom
! mass density	4.9	Mg/m³
! energy above the lowest structure with this stoichiometry	1309.8	meV/atom
! M_tot	0.0	μB per formula unit
! SG	No. 221
! density of states at the Fermi level	5.81	states/eV/cell
! formation energy without anion corrections	2.70	eV per atom

(6)
! CsVSi3 GGA-PBE relaxed; values from VASP
&SYSTEM
  ibrav = 0, nat = 5, ntyp = 3
/
ATOMIC_SPECIES
Cs 132.91 Cs.upf
V 50.94 V.upf
Si 28.09 Si.upf
ATOMIC_POSITIONS angstrom
Cs 0.000 0.000 0.000
V 2.409 2.409 2.409
Si 0.000 2.409 2.409
Si 2.409 0.000 2.409
Si 2.409 2.409 0.000
CELL_PARAMETERS angstrom
4.817 0.000 0.000
0.000 4.817 0.000
0.000 0.000 4.817
! final energy	-4.981	eV/atom
! mass density	4.0	Mg/m³
! energy above the lowest structure with this stoichiometry	0.0	meV/atom
! M_tot	0.0	μB per formula unit
! SG	No. 221
! density of states at the Fermi level	2.55	states/eV/cell
! formation energy without anion corrections	0.27	eV per atom

(7)
! CsVSi3 GGA-PBE relaxed; values from VASP
&SYSTEM
  ibrav = 0, nat = 5, ntyp = 3
/
ATOMIC_SPECIES
Cs 132.91 Cs.upf
V 50.94 V.upf
Si 28.09 Si.upf
ATOMIC_POSITIONS angstrom
Cs 0.000 0.000 0.000
V 2.673 2.673 2.673
Si 0.000 0.000 2.673
Si 0.000 2.673 0.000
Si 2.673 0.000 0.000
CELL_PARAMETERS angstrom
5.346 0.000 0.000
0.000 5.346 0.000
0.000 0.000 5.346
! final energy	-2.660	eV/atom
! mass density	2.9	Mg/m³
! energy above the lowest structure with this stoichiometry	2321.2	meV/atom
! M_tot	3.6	μB per formula unit
! SG	No. 221
! density of states at the Fermi level	6.06	states/eV/cell
! formation energy without anion corrections	2.59	eV per atom

(8)
! CsV3Si GGA-PBE relaxed; values from VASP
&SYSTEM
  ibrav = 0, nat = 5, ntyp = 3
/
ATOMIC_SPECIES
Cs 132.91 Cs.upf
V 50.94 V.upf
Si 28.09 Si.upf
ATOMIC_POSITIONS angstrom
Cs 0.000 0.000 0.000
V 0.000 2.353 2.353
V 2.353 0.000 2.353
V 2.353 2.353 0.000
Si 2.353 2.353 2.353
CELL_PARAMETERS angstrom
4.705 0.000 0.000
0.000 4.705 0.000
0.000 0.000 4.705
! final energy	-5.334	eV/atom
! mass density	5.0	Mg/m³
! energy above the lowest structure with this stoichiometry	0.0	meV/atom
! M_tot	1.4	μB per formula unit
! SG	No. 221
! density of states at the Fermi level	9.69	states/eV/cell
! formation energy without anion corrections	1.39	eV per atom

(9)
! CsSi3W GGA-PBE relaxed; values from VASP
&SYSTEM
  ibrav = 0, nat = 5, ntyp = 3
/
ATOMIC_SPECIES
Cs 132.91 Cs.upf
Si 28.09 Si.upf
W 183.84 W.upf
ATOMIC_POSITIONS angstrom
Cs 0.000 0.000 0.000
Si 0.000 2.449 2.449
Si 2.449 0.000 2.449
Si 2.449 2.449 0.000
W 2.449 2.449 2.449
CELL_PARAMETERS angstrom
4.898 0.000 0.000
0.000 4.898 0.000
0.000 0.000 4.898
! final energy	-5.701	eV/atom
! mass density	5.7	Mg/m³
! energy above the lowest structure with this stoichiometry	0.0	meV/atom
! M_tot	0.0	μB per formula unit
! SG	No. 221
! density of states at the Fermi level	1.88	states/eV/cell
! formation energy without anion corrections	0.31	eV per atom

(10)
! CsSiW3 GGA-PBE relaxed; values from VASP
&SYSTEM
  ibrav = 0, nat = 5, ntyp = 3
/
ATOMIC_SPECIES
Cs 132.91 Cs.upf
Si 28.09 Si.upf
W 183.84 W.upf
ATOMIC_POSITIONS angstrom
Cs 0.000 0.000 0.000
Si 2.376 2.376 2.376
W 0.000 2.376 2.376
W 2.376 0.000 2.376
W 2.376 2.376 0.000
CELL_PARAMETERS angstrom
4.752 0.000 0.000
0.000 4.752 0.000
0.000 0.000 4.752
! final energy	-6.874	eV/atom
! mass density	11.0	Mg/m³
! energy above the lowest structure with this stoichiometry	0.0	meV/atom
! M_tot	0.0	μB per formula unit
! SG	No. 221
! density of states at the Fermi level	7.01	states/eV/cell
! formation energy without anion corrections	2.15	eV per atom

(11)
! CsSi2W2 GGA-PBE relaxed; values from VASP
&SYSTEM
  ibrav = 0, nat = 10, ntyp = 3
/
ATOMIC_SPECIES
Cs 132.91 Cs.upf
Si 28.09 Si.upf
W 183.84 W.upf
ATOMIC_POSITIONS angstrom
Cs 0.000 0.000 0.000
Cs 4.121 4.121 0.000
Si 1.160 2.961 0.000
Si 2.961 7.081 0.000
Si 5.281 1.160 0.000
Si 7.081 5.281 0.000
W 1.076 5.196 1.429
W 3.045 1.076 1.429
W 5.196 7.166 1.429
W 7.166 3.045 1.429
CELL_PARAMETERS angstrom
8.241 0.000 0.000
0.000 8.241 0.000
0.000 0.000 2.859
! final energy	-6.620	eV/atom
! mass density	9.5	Mg/m³
! energy above the lowest structure with this stoichiometry	509.9	meV/atom
! M_tot	0.0	μB per formula unit
! SG	No. 127
! density of states at the Fermi level	10.11	states/eV/cell
! formation energy without anion corrections	0.90	eV per atom

(12)
! Cs2SiW2 GGA-PBE relaxed; values from VASP
&SYSTEM
  ibrav = 0, nat = 10, ntyp = 3
/
ATOMIC_SPECIES
Cs 132.91 Cs.upf
Si 28.09 Si.upf
W 183.84 W.upf
ATOMIC_POSITIONS angstrom
Cs 1.256 2.047 0.000
Cs 2.047 5.349 0.000
Cs 4.558 1.256 0.000
Cs 5.349 4.558 0.000
Si 0.000 0.000 3.244
Si 3.302 3.302 3.244
W 0.849 4.152 3.244
W 2.453 0.849 3.244
W 4.152 5.756 3.244
W 5.756 2.453 3.244
CELL_PARAMETERS angstrom
6.605 0.000 0.000
0.000 6.605 0.000
0.000 0.000 6.488
! final energy	-5.362	eV/atom
! mass density	7.8	Mg/m³
! M_tot	0.9	μB per formula unit
! SG	No. 127
! density of states at the Fermi level	11.23	states/eV/cell
! formation energy without anion corrections	1.25	eV per atom